(1)
Entry from the Alexandria database: crystalline In2AgPb at its relaxed geometry (PBE-GGA).

abc: 3.4906 5.4374 5.4388
angles: 90.00 90.00 90.00
Closest atoms and distances in Å follow each position.
Element x y z (fractional)
In 0.5000 0.5000 0.0000  6 In 3.23-3.49, 4 Ag 3.23
In 0.0000 0.0000 0.0000  6 In 3.23-3.49, 4 Pb 3.23
Ag 0.0000 0.5000 0.5000  4 Pb 3.23, 4 In 3.23, 2 Ag 3.49
Pb 0.5000 0.0000 0.5000  4 Ag 3.23, 4 In 3.23, 2 Pb 3.49

Properties
- E_form (eV/atom) = 0.11
- magnetic moment (μB per cell) = 0.00
- DFT total energy (eV/cell) = -11.61



(2)
Entry from the Alexandria database: crystalline InAgPb4 at its relaxed geometry (PBE-GGA).

abc: 3.4528 3.4528 14.2865
angles: 90.00 90.00 90.00
Closest atoms and distances in Å follow each position.
Element x y z (fractional)
Ag 0.5000 0.5000 0.5000  8 Pb 3.16-3.17, 4 Ag 3.45
Pb 0.5001 0.5001 0.1716  8 Pb 3.45-3.62, 4 In 3.46
Pb 0.4999 0.4999 0.8284  8 Pb 3.45-3.62, 4 In 3.46
Pb 0.0001 0.0001 0.3590  4 Ag 3.16-3.17, 4 Pb 3.45
Pb 0.9999 0.9999 0.6410  4 Ag 3.16-3.17, 4 Pb 3.45
In 0.0000 0.0000 0.0000  4 In 3.45, 8 Pb 3.46

Properties
- energy above the most stable polymorph in this dataset (meV per atom) = 0
- E_form (eV/atom) = 0.03
- magnetic moment (μB per cell) = 0.00
- DFT total energy (eV/cell) = -20.25



(3)
Entry from the Alexandria database: crystalline In2AgPb at its relaxed geometry (PBE-GGA).

abc: 5.3650 5.3650 5.9501
angles: 79.23 79.23 37.85
Closest atoms and distances in Å follow each position.
Element x y z (fractional)
Ag 0.2517 0.2517 0.2122  5 In 3.00-3.18, 2 Pb 3.19
In 0.9886 0.9886 0.0271  3 Ag 3.00-3.08, 3 In 3.14-3.28, 2 Pb 3.33
In 0.7480 0.7480 0.7661  5 In 3.14-3.48, 3 Pb 3.14-3.33, 2 Ag 3.18
Pb 0.5117 0.5117 0.4947  5 In 3.14-3.33, 3 Ag 3.19-3.40, 2 Pb 3.48

Properties
- E_form (eV/atom) = 0.07
- magnetic moment (μB per cell) = 0.00
- DFT total energy (eV/cell) = -11.77